Record 1
Li2Sm2ScIn5 | PBE-GGA | optimized geometry

a = 4.4566 Å, b = 10.1726 Å, c = 10.1726 Å
α = 90.00°, β = 90.00°, γ = 90.00°
Positions (direct):
In 0.5000 0.0000 0.5000
In 0.5000 0.2060 0.0663
In 0.5000 0.0663 0.7940
In 0.5000 0.4337 0.2940
In 0.5000 0.5663 0.7060
In 0.5000 0.7940 0.9337
In 0.5000 0.5000 0.0000
In 0.5000 0.7060 0.4337
In 0.5000 0.2940 0.5663
In 0.5000 0.9337 0.2060
Sc 0.0000 0.0000 0.0000
Sc 0.0000 0.5000 0.5000
Li 0.0000 0.6163 0.8837
Li 0.0000 0.3837 0.1163
Li 0.0000 0.8837 0.3837
Li 0.0000 0.1163 0.6163
Sm 0.0000 0.3212 0.8212
Sm 0.0000 0.6788 0.1788
Sm 0.0000 0.8212 0.6788
Sm 0.0000 0.1788 0.3212

## Properties
Energy relative to the elements ... -0.397 eV per atom
Spin magnetization ... 0.00 μB per cell
Energy ... -74.51 eV for the cell shown

=====

Record 2
ScSiRu2 | PBE-GGA | optimized geometry

a = 7.7108 Å, b = 7.7108 Å, c = 7.7108 Å
α = 23.21°, β = 23.21°, γ = 23.21°
Positions (direct):
Si 0.7500 0.7500 0.7500
Ru 0.4889 0.4889 0.4889
Ru 0.0111 0.0111 0.0111
Sc 0.2500 0.2500 0.2500

## Properties
Spin magnetization ... 0.00 μB per cell
Energy ... -31.50 eV for the cell shown
Formation energy (no corrections) ... -299 meV per atom

=====

- The highest energy belongs to which entry?
  ScSiRu2